DFT (GGA-PBE) results for a relaxed GdScInAu crystal.

As for the energy relative to the elements: -0.574 eV/atom. The total energy is -7.1807 eV/atom.

Cell lengths 5.113, 5.113, 5.113 Å; angles 60.00, 60.00, 60.00 degrees
Last column: magnetic moment on the atom in μB.
Element x y z (fractional)
Sc: 0.750 0.750 0.750  0.09
Gd: 0.250 0.250 0.250  7.05
Au: 0.000 0.000 0.000  0.01
In: 0.500 0.500 0.500  -0.01


DFT (GGA-PBE) results for a relaxed Sm5HoPb4 crystal.

As for the energy relative to the elements: -0.358 eV/atom. The total energy is -4.6586 eV/atom.

Cell lengths 5.428, 7.313, 11.352 Å; angles 129.69, 103.83, 90.00 degrees
Element x y z (fractional)
Ho: 0.500 0.000 0.000
Pb: 0.675 0.101 0.350
Pb: 0.991 0.736 0.983
Pb: 0.009 0.264 0.017
Pb: 0.325 0.899 0.650
Sm: 0.834 0.162 0.667
Sm: 0.500 0.500 0.000
Sm: 0.166 0.838 0.333
Sm: 0.833 0.674 0.667
Sm: 0.167 0.326 0.333